## KRbGa2Ir (GGA-PBE)

Data for a geometry-optimized KRbGa2Ir structure.

a b c (Å): 4.9054 4.9054 6.1069
angles (deg): 90.00 90.00 90.00
Closest atoms and distances in Å follow each position.
Space group P4/mmm (No. 123)
Unique sites:
K1 0.0000 0.0000 0.0000 (multiplicity 1)  2 Ir 3.05
Rb1 0.5000 0.5000 0.0000 (multiplicity 1)  4 K 3.47
Ga1 0.0000 0.5000 0.5000 (multiplicity 2)  2 Ir 2.45
Ir1 0.0000 0.0000 0.5000 (multiplicity 1)  4 Ga 2.45

calculated density = 5.16 g/cm³
ΔE_f = -0.097 eV/atom
DOS(E_F) = 0.211 states/eV/atom
DFT total energy = -3.492 eV/atom
total moment = 0.000 μB per atom